A plane-wave DFT calculation with PBE was carried out for a relaxed CuAg2 crystal.

As for the formation energy: 0.3 eV/f.u. The calculation puts the energy relative to the lowest polymorph listed for this composition at 0.17 eV per formula unit. The total energy is -3.035 eV/atom. The calculated density is 9.7 g/cm3.

Unit cell a=3.948 b=12.024 c=4.024 alpha=90.00 beta=90.00 gamma=90.00
Space group Cmcm (No. 63)
Symmetry-distinct sites (fractional):
Cu1 0.000 0.079 0.250
Ag1 0.000 0.251 0.750
Ag2 0.000 0.420 0.250

A plane-wave DFT calculation with PBE was carried out for a relaxed Cu3Ag5 crystal.

As for the formation energy: 0.7 eV/f.u. The calculation puts the energy relative to the lowest polymorph listed for this composition at 0.42 eV per formula unit. The total energy is -3.069 eV/atom. The calculated density is 9.7 g/cm3.

Unit cell a=4.850 b=4.873 c=5.660 alpha=106.90 beta=90.00 gamma=100.63
Space group P1 (No. 1)
Symmetry-distinct sites (fractional):
Cu1 0.000 0.000 0.000
Cu2 0.005 0.995 0.485
Cu3 0.242 0.477 0.361
Ag1 0.245 0.475 0.862
Ag2 0.487 0.990 0.242
Ag3 0.498 0.981 0.735
Ag4 0.760 0.504 0.123
Ag5 0.765 0.503 0.613

A plane-wave DFT calculation with PBE was carried out for a relaxed CuAg crystal.

As for the formation energy: 0.2 eV/f.u. The total energy is -3.172 eV/atom. The calculated density is 9.6 g/cm3.

Unit cell a=8.767 b=3.912 c=8.690 alpha=90.00 beta=90.41 gamma=90.00
Space group C2/m (No. 12)
Symmetry-distinct sites (fractional):
Cu1 0.000 0.000 0.000
Cu2 0.200 0.000 0.400
Cu3 0.211 0.500 0.906
Ag1 0.000 0.500 0.500
Ag2 0.093 0.500 0.186
Ag3 0.111 0.000 0.705

A plane-wave DFT calculation with PBE was carried out for a relaxed CuAg8 crystal.

As for the formation energy: 0.3 eV/f.u. The calculation puts the energy relative to the lowest polymorph listed for this composition at 0.11 eV per formula unit. The total energy is -2.891 eV/atom. The calculated density is 9.8 g/cm3.

Unit cell a=2.912 b=4.083 c=26.307 alpha=90.00 beta=90.00 gamma=90.00
Space group Immm (No. 71)
Symmetry-distinct sites (fractional):
Cu1 0.000 0.000 0.000
Ag1 0.000 0.000 0.108
Ag2 0.000 0.000 0.222
Ag3 0.000 0.000 0.335
Ag4 0.000 0.000 0.448